The following is a DFT calculation (PBE-GGA) of crystalline KZnNiIr2 at its relaxed geometry.

Properties
Calculated total energy: -0.3132 Ry per atom
N(E_F): 4.72 states/eV per cell
Spin magnetization: 1.62 μB per cell
Symmetry: P4/mmm
Formation energy: 0.914 eV per atom

POSCAR file:
```
KZnNiIr2
1.0
4.635 0.000 0.000
0.000 4.635 0.000
0.000 0.000 4.682
K Zn Ni Ir
1 1 1 2
Direct
0.000 0.000 0.000 K
0.500 0.500 0.000 Zn
0.500 0.500 0.500 Ni
0.000 0.500 0.500 Ir
0.500 0.000 0.500 Ir
```

The following is a DFT calculation (PBE-GGA) of crystalline TlReSe2 at its relaxed geometry.

Properties
Calculated total energy: -0.3795 Ry per atom
N(E_F): 4.25 states/eV per cell
Spin magnetization: 1.31 μB per cell
Symmetry: Immm
Energy relative to the elements, uncorrected: 0.28 eV/atom

POSCAR file:
```
TlReSe2
1.0
-1.606 3.045 5.189
1.606 -3.045 5.189
1.606 3.045 -5.189
Tl Re Se
1 1 2
Direct
0.000 0.000 0.000 Tl
0.500 0.500 0.000 Re
0.319 0.819 0.500 Se
0.681 0.181 0.500 Se
```

The following is a DFT calculation (PBE-GGA) of crystalline ZrNbN2F at its relaxed geometry.

Properties
Calculated total energy: -0.5746 Ry per atom
N(E_F): 4.05 states/eV per cell
Spin magnetization: 2.01 μB per cell
Symmetry: P4/mmm
Energy relative to the elements, uncorrected: -0.39 eV/atom

POSCAR file:
```
ZrNbN2F
1.0
4.283 0.000 0.000
0.000 4.283 0.000
0.000 0.000 3.962
Zr Nb N F
1 1 2 1
Direct
0.000 0.000 0.000 Zr
0.500 0.500 0.500 Nb
0.000 0.500 0.000 N
0.500 0.000 0.000 N
0.000 0.000 0.500 F
```

The following is a DFT calculation (PBE-GGA) of crystalline Ca2CrW at its relaxed geometry.

Properties
Calculated total energy: -0.4087 Ry per atom
N(E_F): 4.68 states/eV per cell
Spin magnetization: 4.38 μB per cell
Symmetry: R-3m
Formation energy: 1.085 eV per atom

POSCAR file:
```
Ca2CrW
1.0
1.574 0.909 10.626
-1.574 0.909 10.626
0.000 -1.817 10.626
Ca Cr W
2 1 1
Direct
0.247 0.247 0.247 Ca
0.753 0.753 0.753 Ca
0.000 0.000 0.000 Cr
0.500 0.500 0.500 W
```